NpTc6 | PBE | optimized geometry

VASP energy	-67.5	eV per cell
DFT formation energy	1.09	eV per atom
Fermi-level density of states	2.19	states/eV/atom
SG	Im-3m

Unit cell a=5.8580 b=5.8580 c=5.8580 alpha=109.47 beta=109.47 gamma=109.47
Atoms (fractional coordinates):
Np 0.0000 0.0000 0.0000
Tc 0.2500 0.5000 0.7500
Tc 0.2500 0.7500 0.5000
Tc 0.5000 0.2500 0.7500
Tc 0.5000 0.7500 0.2500
Tc 0.7500 0.2500 0.5000
Tc 0.7500 0.5000 0.2500


Np2Tc | PBE | optimized geometry

VASP energy	-36.2	eV per cell
DFT formation energy	0.02	eV per atom
relative energy among the computed polymorphs	0.0	meV per atom
Fermi-level density of states	2.17	states/eV/atom
SG	C2/m

Unit cell a=5.3472 b=5.3472 c=3.2580 alpha=100.42 beta=100.42 gamma=36.35
Atoms (fractional coordinates):
Np 0.1769 0.1769 0.1143
Np 0.8231 0.8231 0.8857
Tc 0.5000 0.5000 0.5000


NpTc5 | PBE | optimized geometry

VASP energy	-64.1	eV per cell
DFT formation energy	0.11	eV per atom
Fermi-level density of states	1.13	states/eV/atom
SG	Cmmm

Unit cell a=6.3536 b=6.3536 c=3.8940 alpha=90.00 beta=90.00 gamma=143.03
Atoms (fractional coordinates):
Np 0.0000 0.0000 0.0000
Tc 0.1733 0.8267 0.5000
Tc 0.3179 0.6821 0.0000
Tc 0.5000 0.5000 0.5000
Tc 0.6821 0.3179 0.0000
Tc 0.8267 0.1733 0.5000


Np4Tc | PBE | optimized geometry

VASP energy	-56.6	eV per cell
DFT formation energy	1.10	eV per atom
Fermi-level density of states	7.41	states/eV/atom
SG	Pm-3m

Unit cell a=5.1659 b=5.1659 c=5.1659 alpha=90.00 beta=90.00 gamma=90.00
Atoms (fractional coordinates):
Np 0.0000 0.0000 0.0000
Np 0.0000 0.5000 0.5000
Np 0.5000 0.0000 0.5000
Np 0.5000 0.5000 0.0000
Tc 0.5000 0.5000 0.5000


NpTc3 | PBE | optimized geometry

VASP energy	-43.4	eV per cell
DFT formation energy	0.17	eV per atom
relative energy among the computed polymorphs	21.8	meV per atom
Fermi-level density of states	0.91	states/eV/atom
SG	Pm-3m

Unit cell a=4.0062 b=4.0062 c=4.0062 alpha=90.00 beta=90.00 gamma=90.00
Atoms (fractional coordinates):
Np 0.0000 0.0000 0.0000
Tc 0.0000 0.5000 0.5000
Tc 0.5000 0.0000 0.5000
Tc 0.5000 0.5000 0.0000


Np3Tc2 | PBE | optimized geometry

VASP energy	-115.9	eV per cell
DFT formation energy	0.32	eV per atom
Fermi-level density of states	2.15	states/eV/atom
SG	P1

Unit cell a=4.5497 b=5.9691 c=7.2050 alpha=75.24 beta=89.82 gamma=89.72
Atoms (fractional coordinates):
Np 0.0000 0.0000 0.0000
Np 0.0477 0.4472 0.4079
Np 0.4090 0.8628 0.6131
Np 0.5596 0.6594 0.3631
Np 0.7270 0.1878 0.6948
Np 0.9355 0.3816 0.0628
Tc 0.4202 0.6960 0.0033
Tc 0.4998 0.2204 0.2467
Tc 0.9061 0.6640 0.7503
Tc 0.9865 0.9675 0.3926